Mn2ZnF6 after structural relaxation. Source: the Alexandria database, functional PBE+U.

It has space group Pnnm (No. 58), with a = 4.9657 Å, b = 5.5425 Å, c = 9.1192 Å, α = 90.00°, β = 90.00° and γ = 90.00°. The inequivalent atoms are Mn at (0.0000, 0.0000, 0.1877), Zn at (0.0000, 0.5000, 0.0000), F at (0.1922, 0.1770, 0.0000) and F at (0.2247, 0.6632, 0.1667).

The energy above the lowest structure with this stoichiometry comes out at 22 meV/atom. As for the spin magnetization: 20.00 Bohr magnetons per cell. Its energy is -0.20547 hartree per atom. The calculation puts the volume at 125.5 Å³/f.u.